Entry 1:
VASP calculation (PBE) on an optimized crystal structure of Ba2GaSb2.

The polymorph energy (0 for the lowest one) comes out at 0.410 eV per atom. The total energy comes out at -17.11 eV/f.u.

The space group is I4/mmm (No. 139) and the conventional cell measures 4.360, 4.360 and 19.892 Å, with angles of 90.00, 90.00 and 90.00 degrees. The asymmetric unit holds Ba at (0.000, 0.000, 0.105), Ga at (0.000, 0.000, 0.500) and Sb at (0.000, 0.500, 0.250).

***

Entry 2:
VASP calculation (PBE) on an optimized crystal structure of BaGaSbSe4.

The total energy comes out at -29.00 eV/f.u.

The space group is P2_1/m (No. 11) and the conventional cell measures 7.364, 7.150 and 8.873 Å, with angles of 90.00, 107.45 and 90.00 degrees. The asymmetric unit holds Ba at (0.242, 0.250, 0.457), Ga at (0.241, 0.750, 0.184), Sb at (0.272, 0.250, 0.009), Se at (0.044, 0.750, 0.908), Se at (0.105, 0.750, 0.393) and Se at (0.467, 0.009, 0.224).

***

Entry 3:
VASP calculation (PBE) on an optimized crystal structure of BaGaSn2Sb.

The total energy comes out at -12.56 eV/f.u.

The space group is P4/mmm (No. 123) and the conventional cell measures 6.249, 6.249 and 6.270 Å, with angles of 90.00, 90.00 and 90.00 degrees. The asymmetric unit holds Ba at (0.000, 0.000, 0.000), Ga at (0.500, 0.500, 0.500), Sn at (0.000, 0.500, 0.000) and Sb at (0.000, 0.000, 0.500).

***

Entry 4:
VASP calculation (PBE) on an optimized crystal structure of BaSrGaSb2.

The total energy comes out at -17.72 eV/f.u.

The space group is Cmme (No. 67) and the conventional cell measures 7.319, 15.288 and 6.492 Å, with angles of 90.00, 90.00 and 90.00 degrees. The asymmetric unit holds Ba at (0.000, 0.250, 0.239), Sr at (0.250, 0.000, 0.500), Ga at (0.000, 0.000, 0.000) and Sb at (0.000, 0.146, 0.755).

***

Respective total magnetization values: 0.74 0.00 0.00 0.00 μB per formula unit.
Respective formation energy from raw total energies values: -399 -856 903 -569 meV per atom.